1.
CdGaGe3 | PBE-GGA | optimized geometry

Summary:
- ΔE_f: 855 meV per atom
- Crystal system: cubic
- ρ: 4.76 g cm⁻³
- Excess energy over the best structure of this formula in the dataset: 0.2759 eV per atom

a b c (Å): 5.187 5.187 5.187
angles (deg): 90.00 90.00 90.00
Fractional coordinates of all 5 atoms:
Ge: 0.000 0.500 0.000
Ge: 0.000 0.000 0.500
Ge: 0.500 0.000 0.000
Ga: 0.500 0.500 0.500
Cd: 0.000 0.000 0.000



2.
NbSnGeS2 | PBE-GGA | optimized geometry

Summary:
- Crystal system: tetragonal
- Formation energy without anion corrections: 31 kJ/mol of formula units
- ρ: 4.55 g cm⁻³

a b c (Å): 4.681 5.807 4.681
angles (deg): 90.00 90.00 90.00
Fractional coordinates of all 5 atoms:
S: 0.000 0.000 0.500
S: 0.500 0.000 0.000
Nb: 0.000 0.000 0.000
Ge: 0.500 0.500 0.500
Sn: 0.000 0.500 0.000



3.
LiFePt2 | PBE-GGA | optimized geometry

Summary:
- ΔE_f: -280 meV per atom
- Crystal system: orthorhombic
- ρ: 13.46 g cm⁻³

a b c (Å): 5.197 5.197 5.197
angles (deg): 147.74 131.23 59.69
Each line ends with the local moment (μB).
Fractional coordinates of all 4 atoms:
Fe: 0.503 0.503 0.000  3.04
Li: 0.251 0.751 0.500  -0.02
Pt: 0.005 0.005 0.000  0.34
Pt: 0.741 0.241 0.500  0.28



4.
Ca4CePb15 | PBE-GGA | optimized geometry

Summary:
- ΔE_f: -321 meV per atom
- Crystal system: tetragonal
- ρ: 9.35 g cm⁻³

a b c (Å): 4.936 4.936 24.845
angles (deg): 90.00 90.00 90.00
Each line ends with the local moment (μB).
Fractional coordinates of all 20 atoms:
Ca: 0.000 0.000 0.198  0.00
Ca: 0.000 0.000 0.400  0.00
Ca: 0.000 0.000 0.600  0.00
Ca: 0.000 0.000 0.802  0.00
Ce: 0.000 0.000 0.000  0.84
Pb: 0.500 0.500 0.000  0.00
Pb: 0.500 0.500 0.200  0.00
Pb: 0.500 0.500 0.399  0.00
Pb: 0.500 0.500 0.601  0.00
Pb: 0.500 0.500 0.800  0.00
Pb: 0.500 0.000 0.100  0.00
Pb: 0.500 0.000 0.300  0.00
Pb: 0.500 0.000 0.500  0.00
Pb: 0.500 0.000 0.700  0.00
Pb: 0.500 0.000 0.900  0.00
Pb: 0.000 0.500 0.100  0.00
Pb: 0.000 0.500 0.300  0.00
Pb: 0.000 0.500 0.500  0.00
Pb: 0.000 0.500 0.700  0.00
Pb: 0.000 0.500 0.900  0.00



5.
ZnNiAg2 | PBE-GGA | optimized geometry

Summary:
- ΔE_f: 78 meV per atom
- Crystal system: tetragonal
- ρ: 9.29 g cm⁻³

a b c (Å): 4.762 4.762 4.762
angles (deg): 130.65 130.65 72.38
Fractional coordinates of all 4 atoms:
Ag: 0.000 0.000 0.000
Ag: 0.500 0.500 0.000
Ni: 0.250 0.750 0.500
Zn: 0.750 0.250 0.500



6.
InSnIBr2 | PBE-GGA | optimized geometry

Summary:
- Crystal system: tetragonal
- Formation energy without anion corrections: 183 kJ/mol of formula units
- ρ: 3.86 g cm⁻³
- Excess energy over the best structure of this formula in the dataset: 0.9326 eV per atom

a b c (Å): 6.043 6.129 6.043
angles (deg): 90.00 90.00 90.00
Each line ends with the local moment (μB).
Fractional coordinates of all 5 atoms:
I: 0.000 0.000 0.000  -0.02
Sn: 0.500 0.500 0.500  0.53
Br: 0.000 0.000 0.500  0.01
Br: 0.500 0.000 0.000  0.01
In: 0.000 0.500 0.000  0.06



7.
Zr2WC | PBE-GGA | optimized geometry

Summary:
- ΔE_f: 353 meV per atom
- Crystal system: tetragonal
- ρ: 9.86 g cm⁻³

a b c (Å): 3.223 3.223 6.132
angles (deg): 90.00 90.00 90.00
Fractional coordinates of all 4 atoms:
C: 0.500 0.500 0.250
Zr: 0.000 0.000 0.032
Zr: 0.000 0.000 0.468
W: 0.500 0.500 0.750